## Ca2ZrTc (PBE-GGA)

Data for crystalline Ca2ZrTc at its relaxed geometry.

Cell lengths 4.6369, 4.6369, 7.8816 Å; angles 96.00, 96.00, 43.49 degrees
Last column: nearest neighbours and their distance in Å.
Atoms (fractional coordinates):
Ca 0.0000 0.0000 0.0000  3 Zr 3.12-3.41, 2 Tc 3.33, 2 Ca 3.44
Ca 0.2145 0.2145 0.6208  3 Tc 3.16-3.30, 2 Zr 3.31, 2 Ca 3.44
Zr 0.7631 0.7631 0.2723  3 Tc 2.53-2.64
Tc 0.4898 0.4898 0.3609  3 Zr 2.53-2.64

Summary:
- Crystal system: monoclinic
- Formation energy from the elements: 1.36 eV/f.u.
- Offset from the most stable computed form: 1.008 eV/f.u.

## VRuW (PBE-GGA)

Data for crystalline VRuW at its relaxed geometry.

Cell lengths 5.1549, 5.1549, 4.2954 Å; angles 90.00, 90.00, 130.33 degrees
Last column: nearest neighbours and their distance in Å.
Atoms (fractional coordinates):
V 0.0000 0.0000 0.0000  4 Ru 2.59, 4 W 2.65
V 0.5000 0.5000 0.5000  4 Ru 2.60, 4 W 2.64
Ru 0.1538 0.8462 0.5000  4 V 2.59-2.60, 2 W 2.74, 3 Ru 2.82-2.88
Ru 0.8462 0.1538 0.5000  4 V 2.59-2.60, 2 W 2.74, 3 Ru 2.82-2.88
W 0.3361 0.6639 0.0000  4 V 2.64-2.65, 2 W 2.70, 2 Ru 2.74
W 0.6639 0.3361 0.0000  4 V 2.64-2.65, 2 W 2.70, 2 Ru 2.74

Summary:
- Crystal system: orthorhombic
- Formation energy from the elements: -0.26 eV/f.u.
- Offset from the most stable computed form: 0.031 eV/f.u.

## Cu2SCl3 (PBE-GGA)

Data for crystalline Cu2SCl3 at its relaxed geometry.

Cell lengths 3.7714, 6.7367, 11.0699 Å; angles 90.90, 96.12, 101.44 degrees
Last column: nearest neighbours and their distance in Å.
Atoms (fractional coordinates):
Cu 0.0096 0.1583 0.3505  2 Cl 2.24-2.31, 2 S 2.27-2.28
Cu 0.2469 0.3998 0.8700  4 Cl 2.27-2.29
Cu 0.7531 0.6002 0.1300  4 Cl 2.27-2.29
Cu 0.9904 0.8417 0.6495  2 Cl 2.24-2.31, 2 S 2.27-2.28
S 0.4633 0.8619 0.5346  1 S 2.00
S 0.5367 0.1381 0.4654  1 S 2.00
Cl 0.0599 0.0703 0.8037  2 Cu 2.24-2.28
Cl 0.0872 0.4894 0.2904  2 Cu 2.29-2.31
Cl 0.3985 0.7047 0.9730  2 Cu 2.27-2.29
Cl 0.6015 0.2953 0.0270  2 Cu 2.27-2.29
Cl 0.9128 0.5106 0.7096  2 Cu 2.29-2.31
Cl 0.9401 0.9297 0.1963  2 Cu 2.24-2.28

Summary:
- Crystal system: triclinic
- E_form (uncorrected): -375 meV per atom

## NbClO2 (PBE-GGA)

Data for crystalline NbClO2 at its relaxed geometry.

Cell lengths 6.6996, 3.0349, 8.0845 Å; angles 90.00, 110.78, 90.00 degrees
Last column: nearest neighbours and their distance in Å.
Atoms (fractional coordinates):
Nb 0.1764 0.2500 0.1804  5 O 1.96-2.15
Nb 0.8236 0.7500 0.8196  5 O 1.96-2.15
Cl 0.4901 0.2500 0.7328  2 Nb 2.58, 2 O 2.72-2.82
Cl 0.5099 0.7500 0.2672  2 Nb 2.58, 2 O 2.72-2.82
O 0.1054 0.7500 0.3026  2 Nb 1.96
O 0.1379 0.7500 0.9832  3 Nb 2.05-2.15
O 0.8621 0.2500 0.0168  3 Nb 2.05-2.15
O 0.8946 0.2500 0.6974  2 Nb 1.96

Summary:
- Crystal system: monoclinic
- E_form (uncorrected): -1935 meV per atom

## CrIr2Pd (PBE-GGA)

Data for crystalline CrIr2Pd at its relaxed geometry.

Cell lengths 4.3392, 4.3392, 4.3392 Å; angles 60.00, 60.00, 60.00 degrees
Last column: nearest neighbours and their distance in Å.
Atoms (fractional coordinates):
Cr 0.0000 0.0000 0.0000  8 Ir 2.66
Ir 0.2500 0.2500 0.2500  4 Cr 2.66, 4 Pd 2.66
Ir 0.7500 0.7500 0.7500  4 Cr 2.66, 4 Pd 2.66
Pd 0.5000 0.5000 0.5000  8 Ir 2.66

Summary:
- Crystal system: cubic
- Formation energy from the elements: 1.08 eV/f.u.

## Nd4Er5Mg (PBE-GGA)

Data for crystalline Nd4Er5Mg at its relaxed geometry.

Cell lengths 3.6160, 3.6160, 24.2203 Å; angles 90.00, 90.00, 90.00 degrees
Last column: nearest neighbours and their distance in Å.
Atoms (fractional coordinates):
Nd 0.0000 0.0000 0.1037  8 Er 3.58-3.59, 4 Nd 3.62
Nd 0.0000 0.0000 0.3116  8 Er 3.56-3.59, 4 Nd 3.62
Nd 0.0000 0.0000 0.6884  8 Er 3.56-3.59, 4 Nd 3.62
Nd 0.0000 0.0000 0.8963  8 Er 3.58-3.59, 4 Nd 3.62
Er 0.5000 0.5000 0.0000  8 Nd 3.58, 4 Er 3.62
Er 0.5000 0.5000 0.2075  8 Nd 3.59, 4 Er 3.62
Er 0.5000 0.5000 0.4136  4 Mg 3.30, 4 Nd 3.56, 4 Er 3.62
Er 0.5000 0.5000 0.5864  4 Mg 3.30, 4 Nd 3.56, 4 Er 3.62
Er 0.5000 0.5000 0.7925  8 Nd 3.59, 4 Er 3.62
Mg 0.0000 0.0000 0.5000  8 Er 3.30, 4 Mg 3.62

Summary:
- Crystal system: tetragonal
- Formation energy from the elements: 0.03 eV/f.u.
- Offset from the most stable computed form: 0.000 eV/f.u.

Number 1: M_tot 0.000 μB per atom, VASP energy -5.39 eV/atom. Number 2: M_tot 0.000 μB per atom, VASP energy -10.54 eV/atom. Number 3: M_tot 0.118 μB per atom, VASP energy -3.35 eV/atom. Number 4: M_tot 0.000 μB per atom, VASP energy -7.39 eV/atom. Number 5: M_tot 0.377 μB per atom, VASP energy -7.87 eV/atom. Number 6: M_tot 0.000 μB per atom, VASP energy -4.34 eV/atom.